Entry 1:
Sr2OsW | PBEsol | relaxed

Unit cell a=5.1062 b=5.1062 c=5.1062 alpha=60.00 beta=60.00 gamma=60.00
Last column: nearest neighbours and their distance in Å.
Fractional positions:
Sr: 0.2500 0.2500 0.2500  4 W 3.13, 4 Os 3.13
Sr: 0.7500 0.7500 0.7500  4 W 3.13, 4 Os 3.13
Os: 0.0000 0.0000 0.0000  8 Sr 3.13
W: 0.5000 0.5000 0.5000  8 Sr 3.13

Properties
As for the space-group type: Fm-3m. The calculation puts the density at 9.69 g/cm³. The calculation puts the formation energy at 1722 meV/atom. For the density of states at the Fermi level, the calculation gives 5.00 states/eV/cell. Its crystal system is cubic.

***

Entry 2:
Sr2OsW | PBEsol | relaxed

Unit cell a=3.3301 b=3.6231 c=9.2407 alpha=90.00 beta=90.00 gamma=90.00
Last column: nearest neighbours and their distance in Å.
Fractional positions:
Sr: 0.0000 0.0000 0.0000  1 Os 3.14, 2 Sr 3.33
Sr: 0.5000 0.5000 0.3916  1 W 3.10, 2 Sr 3.33
Os: 0.0000 0.0000 0.6598  4 W 2.54
W: 0.5000 0.5000 0.7269  4 Os 2.54

Properties
As for the space-group type: Pmm2. The calculation puts the density at 8.18 g/cm³. The calculation puts the formation energy at 563 meV/atom. For the density of states at the Fermi level, the calculation gives 3.64 states/eV/cell. Its crystal system is orthorhombic.

***

Entry 3:
SrYOs3 | PBEsol | relaxed

Unit cell a=4.7727 b=4.7727 c=4.7727 alpha=90.00 beta=90.00 gamma=90.00
Last column: nearest neighbours and their distance in Å.
Fractional positions:
Sr: 0.0000 0.0000 0.0000  6 Os 2.39
Y: 0.5000 0.5000 0.5000  12 Os 3.37
Os: 0.0000 0.0000 0.5000  2 Sr 2.39
Os: 0.0000 0.5000 0.0000  2 Sr 2.39
Os: 0.5000 0.0000 0.0000  2 Sr 2.39

Properties
As for the space-group type: Pm-3m. The calculation puts the density at 11.41 g/cm³. The calculation puts the formation energy at 2683 meV/atom. For the density of states at the Fermi level, the calculation gives 4.96 states/eV/cell. Its crystal system is cubic.

***

Entry 4:
SrY2Os | PBEsol | relaxed

Unit cell a=4.1944 b=4.8022 c=4.8339 alpha=90.00 beta=90.00 gamma=90.00
Last column: nearest neighbours and their distance in Å.
Fractional positions:
Sr: 0.0000 0.0000 0.0000  8 Y 3.19-3.20, 4 Os 3.41
Y: 0.5000 0.0000 0.5000  4 Os 3.19, 4 Sr 3.20, 4 Y 3.41
Y: 0.5000 0.5000 0.0000  4 Sr 3.19, 4 Os 3.20, 4 Y 3.41
Os: 0.0000 0.5000 0.5000  8 Y 3.19-3.20, 4 Sr 3.41

Properties
As for the space-group type: Pmmm. The calculation puts the density at 7.77 g/cm³. The calculation puts the formation energy at 456 meV/atom. For the density of states at the Fermi level, the calculation gives 4.60 states/eV/cell. Its crystal system is orthorhombic.

***

Entry 5:
Sr2YOs | PBEsol | relaxed

Unit cell a=3.9659 b=3.9659 c=7.0546 alpha=90.00 beta=90.00 gamma=90.00
Last column: nearest neighbours and their distance in Å.
Fractional positions:
Sr: 0.0000 0.0000 0.2093  1 Sr 2.95, 4 Os 3.17
Sr: 0.0000 0.0000 0.7907  1 Sr 2.95, 4 Os 3.17
Y: 0.5000 0.5000 0.5000  8 Sr 3.47, 2 Os 3.53
Os: 0.5000 0.5000 0.0000  8 Sr 3.17, 2 Y 3.53

Properties
As for the space-group type: P4/mmm. The calculation puts the density at 6.80 g/cm³. The calculation puts the formation energy at 778 meV/atom. For the density of states at the Fermi level, the calculation gives 4.06 states/eV/cell. Its crystal system is tetragonal.

***

Entry 6:
Sr4YOs | PBEsol | relaxed

Unit cell a=6.4935 b=6.4935 c=6.4935 alpha=60.00 beta=60.00 gamma=60.00
Last column: nearest neighbours and their distance in Å.
Fractional positions:
Sr: 0.3771 0.3771 0.3771  6 Sr 3.19-3.30
Sr: 0.3771 0.3771 0.8686  6 Sr 3.19-3.30
Sr: 0.3771 0.8686 0.3771  6 Sr 3.19-3.30
Sr: 0.8686 0.3771 0.3771  6 Sr 3.19-3.30
Y: 0.0000 0.0000 0.0000  12 Sr 3.81, 4 Os 3.98
Os: 0.7500 0.7500 0.7500  12 Sr 3.80, 4 Y 3.98

Properties
As for the space-group type: F-43m. The calculation puts the density at 5.40 g/cm³. The calculation puts the formation energy at 1270 meV/atom. For the density of states at the Fermi level, the calculation gives 8.92 states/eV/cell. Its crystal system is cubic.